Record 1
# SiB2PC (PBE, relaxed)
data_SiB2PC
_chemical_formula_sum 'Si2 B4 P2 C2'
_space_group_name_H-M_alt 'C 1 m 1'
_space_group_IT_number 8
_cell_length_a 5.469
_cell_length_b 2.985
_cell_length_c 6.594
_cell_angle_alpha 90.00
_cell_angle_beta 95.75
_cell_angle_gamma 90.00
loop_
_space_group_symop_operation_xyz
'x,y,z'
'x,-y,z'
'x+1/2,y+1/2,z'
'x+1/2,-y+1/2,z'
loop_
_atom_site_label
_atom_site_type_symbol
_atom_site_fract_x
_atom_site_fract_y
_atom_site_fract_z
_atom_site_occupancy
Si1 Si 0.000 0.000 0.000 1
B1 B 0.275 0.500 0.503 1
B2 B 0.294 0.000 0.669 1
P1 P 0.073 0.000 0.359 1
C1 C 0.317 0.000 0.905 1
# **Raw formation energy**: 0.274 eV per atom
# **Relative energy among the computed polymorphs**: 0.807 eV/f.u.

---

Record 2
# CsTl2SbI6 (PBE, relaxed)
data_CsTl2SbI6
_chemical_formula_sum 'Cs1 Tl2 Sb1 I6'
_space_group_name_H-M_alt 'P 1'
_space_group_IT_number 1
_cell_length_a 8.749
_cell_length_b 8.759
_cell_length_c 9.290
_cell_angle_alpha 90.04
_cell_angle_beta 118.08
_cell_angle_gamma 119.95
loop_
_space_group_symop_operation_xyz
'x,y,z'
loop_
_atom_site_label
_atom_site_type_symbol
_atom_site_fract_x
_atom_site_fract_y
_atom_site_fract_z
_atom_site_occupancy
Cs1 Cs 0.000 0.000 0.000 1
Tl1 Tl 0.583 0.291 0.873 1
Tl2 Tl 0.623 0.812 0.434 1
Sb1 Sb 0.967 0.484 0.450 1
I1 I 0.098 0.441 0.207 1
I2 I 0.113 0.267 0.670 1
I3 I 0.404 0.847 0.670 1
I4 I 0.551 0.110 0.207 1
I5 I 0.766 0.657 0.206 1
I6 I 0.824 0.558 0.670 1
# **Raw formation energy**: -0.697 eV per atom

---

Record 3
# BaSc3S (PBE, relaxed)
data_BaSc3S
_chemical_formula_sum 'Ba1 Sc3 S1'
_space_group_name_H-M_alt 'P m -3 m'
_space_group_IT_number 221
_space_group_name_Hall '-P 4 2 3'
_cell_length_a 5.312
_cell_length_b 5.312
_cell_length_c 5.312
_cell_angle_alpha 90.00
_cell_angle_beta 90.00
_cell_angle_gamma 90.00
loop_
_atom_site_label
_atom_site_type_symbol
_atom_site_fract_x
_atom_site_fract_y
_atom_site_fract_z
_atom_site_occupancy
Ba1 Ba 0.000 0.000 0.000 1
Sc1 Sc 0.000 0.000 0.500 1
S1 S 0.500 0.500 0.500 1
# **Raw formation energy**: 1.331 eV per atom
# **Relative energy among the computed polymorphs**: 8.590 eV/f.u.

---

Computed density of states at the Fermi level, in the same sequence as the records: 2.42; 0.00; 4.34 states/eV per cell.
Computed volume, in the same sequence as the records: 54; 518; 150 Å³/f.u..
Computed uncorrected energy, in the same sequence as the records: -6.409; -2.598; -3.678 eV/atom.